DFT (PBE) results for a relaxed structure of CsCaTe2N.

Geometry as POSCAR:
```
CsCaTe2N
1.0
6.259 0.000 0.000
0.000 6.259 0.000
0.000 0.000 4.886
Cs Ca Te N
1 1 2 1
Cartesian
0.000 0.000 0.000
3.129 3.129 2.443
0.000 3.129 2.443
3.129 0.000 2.443
3.129 3.129 0.000
```

- formation energy without anion corrections (eV/atom) = 0.068
- total magnetic moment (μB per cell) = 3.781
- SG = P4/mmm (123)
- theoretical density (g cm⁻³) = 3.84